1.
{
  "formula": "Cs3GaGe",
  "functional": "PBE",
  "state": "relaxed",
  "lattice": [[-1.4153, 1.0686, -9.3049], [0.5249, -9.3311, 1.5432], [-5.6551, 3.8053, 4.9277]],
  "species": ["Cs", "Cs", "Cs", "Cs", "Cs", "Cs", "Ga", "Ga", "Ge", "Ge"],
  "fractional_positions": [[0.7882, 0.0332, 0.2240], [0.1908, 0.4358, 0.2240], [0.8092, 0.5642, 0.7760], [0.7129, 0.4788, 0.1918], [0.2118, 0.9668, 0.7760], [0.2871, 0.5212, 0.8082], [0.6772, 0.8708, 0.5479], [0.3228, 0.1292, 0.4521], [0.6075, 0.1002, 0.7076], [0.3925, 0.8998, 0.2924]],
  "sg": "No. 12"
}

2.
{
  "formula": "CsGaGe3",
  "functional": "PBE",
  "state": "relaxed",
  "lattice": [[-1.5494, 0.0649, -5.6025], [-5.0611, -2.5098, 1.3706], [-2.4036, 5.2430, 0.7254]],
  "species": ["Cs", "Ge", "Ge", "Ge", "Ga"],
  "fractional_positions": [[0.0000, 0.0000, 0.0000], [0.0000, 0.5000, 0.0000], [0.0000, 0.0000, 0.5000], [0.5000, 0.0000, 0.0000], [0.5000, 0.5000, 0.5000]],
  "sg": "No. 221"
}

no.,distance to the lowest polymorph of the same formula (meV per atom),DFT formation energy (meV per atom),total magnetic moment (μB per formula unit)
1,0,34,0.22
2,1792,1740,0.00